The following is a PBE calculation of crystalline KSrIr2 at its relaxed geometry, from the Alexandria database.

a = 3.5503 Å, b = 3.5503 Å, c = 9.4433 Å
α = 90.00°, β = 90.00°, γ = 90.00°
Positions (direct):
K 0.0000 0.0000 0.0000
Sr 0.5000 0.5000 0.4278
Ir 0.0000 0.0000 0.6598
Ir 0.5000 0.5000 0.7271

## Properties
Crystal system: tetragonal
N(E_F) in states/eV/cell: 4.35
Electronic total energy in eV per atom: -4.83
Symmetry: No. 99
Energy above the most stable polymorph in this dataset in kJ/mol of atoms: 11.9



The following is a PBE calculation of crystalline K2SrIr at its relaxed geometry, from the Alexandria database.

a = 13.0235 Å, b = 13.0235 Å, c = 13.0235 Å
α = 16.73°, β = 16.73°, γ = 16.73°
Positions (direct):
K 0.2268 0.2268 0.2268
K 0.7732 0.7732 0.7732
Sr 0.0000 0.0000 0.0000
Ir 0.5000 0.5000 0.5000

## Properties
Crystal system: trigonal
N(E_F) in states/eV/cell: 6.06
Electronic total energy in eV per atom: -2.24
Symmetry: No. 166
Energy above the most stable polymorph in this dataset in kJ/mol of atoms: 62.8



The following is a PBE calculation of crystalline K2SrIr at its relaxed geometry, from the Alexandria database.

a = 4.7599 Å, b = 6.0129 Å, c = 4.7721 Å
α = 90.00°, β = 98.52°, γ = 90.00°
Positions (direct):
K 0.2100 0.0000 0.2898
K 0.7900 0.0000 0.7102
Sr 0.5000 0.5000 0.0000
Ir 0.0000 0.5000 0.5000

## Properties
Crystal system: monoclinic
N(E_F) in states/eV/cell: 3.47
Electronic total energy in eV per atom: -2.59
Symmetry: No. 10
Energy above the most stable polymorph in this dataset in kJ/mol of atoms: 29.0



The following is a PBE calculation of crystalline KSrIr3 at its relaxed geometry, from the Alexandria database.

a = 5.2167 Å, b = 5.2167 Å, c = 5.2167 Å
α = 90.00°, β = 90.00°, γ = 90.00°
Positions (direct):
K 0.0000 0.0000 0.0000
Sr 0.5000 0.5000 0.5000
Ir 0.0000 0.5000 0.5000
Ir 0.5000 0.0000 0.5000
Ir 0.5000 0.5000 0.0000

## Properties
Crystal system: cubic
N(E_F) in states/eV/cell: 7.05
Electronic total energy in eV per atom: -3.61
Symmetry: No. 221
Energy above the most stable polymorph in this dataset in kJ/mol of atoms: 3.6